# 1
DFT (PBE) results for a geometry-optimized Ac2PrNdP4 structure.

Cell: 7.4717 4.3171 7.4897 Å, 90.00 109.39 90.00°
Fractional coordinates of all 8 atoms:
Ac (0.0000, 0.0000, 0.0000)
Ac (0.5000, 0.5000, 0.0000)
Pr (0.0000, 0.5000, 0.5000)
Nd (0.5000, 0.0000, 0.5000)
P (0.2468, 0.0000, 0.7375)
P (0.2552, 0.5000, 0.2632)
P (0.7448, 0.5000, 0.7368)
P (0.7532, 0.0000, 0.2625)

DOS at the Fermi energy   0.71 states/eV/cell
E_form   -1.479 eV/atom



# 2
DFT (PBE) results for a geometry-optimized SrHo2Ir structure.

Cell: 9.8207 9.8207 9.8207 Å, 24.25 24.25 24.25°
Fractional coordinates of all 4 atoms:
Sr (0.0000, 0.0000, 0.0000)
Ho (0.2149, 0.2149, 0.2149)
Ho (0.7851, 0.7851, 0.7851)
Ir (0.5000, 0.5000, 0.5000)

DOS at the Fermi energy   3.50 states/eV/cell
E_form   -0.422 eV/atom



# 3
DFT (PBE) results for a geometry-optimized LaTi structure.

Cell: 7.7832 7.7832 7.7832 Å, 155.49 63.16 122.79°
Fractional coordinates of all 6 atoms:
La (0.0000, 0.0000, 0.0000)
La (0.4978, 0.2072, 0.2907)
La (0.9165, 0.2072, 0.7093)
Ti (0.2417, 0.8385, 0.4032)
Ti (0.4354, 0.8385, 0.5968)
Ti (0.5877, 0.5877, 0.0000)

DOS at the Fermi energy   8.71 states/eV/cell
E_form   0.306 eV/atom



# 4
DFT (PBE) results for a geometry-optimized CePm4Er5 structure.

Cell: 9.0021 9.0021 8.4550 Å, 112.17 112.17 32.63°
Fractional coordinates of all 10 atoms:
Ce (0.0000, 0.0000, 0.0000)
Pm (0.1790, 0.1790, 0.4106)
Pm (0.4672, 0.4672, 0.7439)
Pm (0.5328, 0.5328, 0.2561)
Pm (0.8210, 0.8210, 0.5894)
Er (0.0000, 0.0000, 0.5000)
Er (0.3062, 0.3062, 0.8846)
Er (0.3501, 0.3501, 0.3178)
Er (0.6499, 0.6499, 0.6822)
Er (0.6938, 0.6938, 0.1154)

DOS at the Fermi energy   17.28 states/eV/cell
E_form   0.273 eV/atom



# 5
DFT (PBE) results for a geometry-optimized K2YF5 structure.

Cell: 10.9546 7.3539 6.6943 Å, 90.00 90.00 90.00°
Fractional coordinates of all 32 atoms:
K (0.1714, 0.0029, 0.0330)
K (0.1714, 0.4971, 0.0330)
K (0.3286, 0.5029, 0.5330)
K (0.3286, 0.9971, 0.5330)
K (0.6714, 0.0029, 0.4670)
K (0.6714, 0.4971, 0.4670)
K (0.8286, 0.5029, 0.9670)
K (0.8286, 0.9971, 0.9670)
Y (0.0044, 0.2500, 0.5611)
Y (0.4956, 0.7500, 0.0611)
Y (0.5044, 0.2500, 0.9389)
Y (0.9956, 0.7500, 0.4389)
F (0.0128, 0.2500, 0.8925)
F (0.0760, 0.5351, 0.6468)
F (0.0760, 0.9649, 0.6468)
F (0.1677, 0.2500, 0.3718)
F (0.1907, 0.7500, 0.3378)
F (0.3093, 0.2500, 0.8378)
F (0.3323, 0.7500, 0.8718)
F (0.4240, 0.0351, 0.1468)
F (0.4240, 0.4649, 0.1468)
F (0.4872, 0.7500, 0.3925)
F (0.5128, 0.2500, 0.6075)
F (0.5760, 0.5351, 0.8532)
F (0.5760, 0.9649, 0.8532)
F (0.6677, 0.2500, 0.1282)
F (0.6907, 0.7500, 0.1622)
F (0.8093, 0.2500, 0.6622)
F (0.8323, 0.7500, 0.6282)
F (0.9240, 0.0351, 0.3532)
F (0.9240, 0.4649, 0.3532)
F (0.9872, 0.7500, 0.1075)

Raw formation energy   -3.494 eV/atom
DOS at the Fermi energy   0.00 states/eV/cell



# 6
DFT (PBE) results for a geometry-optimized PmIn3Ag structure.

Cell: 4.6781 7.4186 7.3747 Å, 90.00 90.00 90.00°
Fractional coordinates of all 10 atoms:
Pm (0.2500, 0.2500, 0.2194)
Pm (0.7500, 0.7500, 0.7806)
In (0.2500, 0.0506, 0.7068)
In (0.2500, 0.4494, 0.7068)
In (0.2500, 0.7500, 0.0807)
In (0.7500, 0.2500, 0.9193)
In (0.7500, 0.5506, 0.2932)
In (0.7500, 0.9494, 0.2932)
Ag (0.2500, 0.7500, 0.4650)
Ag (0.7500, 0.2500, 0.5350)

DOS at the Fermi energy   4.73 states/eV/cell
E_form   -0.225 eV/atom